# 1
Entry from Alexandria via LeMat-Bulk: crystalline Hf8Sb2P3 at its relaxed geometry (GGA-PBE).

Structure (CIF):
```
data_Hf8Sb2P3
_chemical_formula_sum 'Hf16 Sb4 P6'
_cell_length_a 13.414
_cell_length_b 7.150
_cell_length_c 6.315
_cell_angle_alpha 90.00
_cell_angle_beta 103.04
_cell_angle_gamma 90.00
_space_group_name_H-M_alt 'C 1 2/m 1'
_space_group_IT_number 12
_space_group_name_Hall '-C 2y'
loop_
_atom_site_label
_atom_site_type_symbol
_atom_site_fract_x
_atom_site_fract_y
_atom_site_fract_z
_atom_site_occupancy
Hf1 Hf 0.099 0.000 0.419 1
Hf2 Hf 0.100 0.228 0.885 1
Hf3 Hf 0.121 0.500 0.375 1
Sb1 Sb 0.249 0.500 0.821 1
P1 P 0.000 0.279 0.500 1
P2 P 0.000 0.500 0.000 1
```

* Fermi-level density of states: 8.7 states/eV/f.u.
* raw formation energy: -581 kJ/mol of formula units
* mass density: 9.9 g/cm³

# 2
Entry from Alexandria via LeMat-Bulk: crystalline HfSbP2 at its relaxed geometry (GGA-PBE).

Structure (CIF):
```
data_HfSbP2
_chemical_formula_sum 'Hf4 Sb4 P8'
_cell_length_a 6.132
_cell_length_b 6.132
_cell_length_c 11.602
_cell_angle_alpha 90.00
_cell_angle_beta 90.00
_cell_angle_gamma 90.00
_space_group_name_H-M_alt 'I -4 2 d'
_space_group_IT_number 122
_space_group_name_Hall 'I -4 2bw'
loop_
_atom_site_label
_atom_site_type_symbol
_atom_site_fract_x
_atom_site_fract_y
_atom_site_fract_z
_atom_site_occupancy
Hf1 Hf 0.000 0.000 0.000 1
Sb1 Sb 0.000 0.000 0.500 1
P1 P 0.223 0.250 0.125 1
```

* Fermi-level density of states: 4.2 states/eV/f.u.
* raw formation energy: -13 kJ/mol of formula units
* mass density: 5.5 g/cm³

What is the formula in the second record?
HfSbP2

What did the second record say?
Entry from Alexandria via LeMat-Bulk: crystalline HfSbP2 at its relaxed geometry (GGA-PBE).

Structure (CIF):
```
data_HfSbP2
_chemical_formula_sum 'Hf4 Sb4 P8'
_cell_length_a 6.132
_cell_length_b 6.132
_cell_length_c 11.602
_cell_angle_alpha 90.00
_cell_angle_beta 90.00
_cell_angle_gamma 90.00
_space_group_name_H-M_alt 'I -4 2 d'
_space_group_IT_number 122
_space_group_name_Hall 'I -4 2bw'
loop_
_atom_site_label
_atom_site_type_symbol
_atom_site_fract_x
_atom_site_fract_y
_atom_site_fract_z
_atom_site_occupancy
Hf1 Hf 0.000 0.000 0.000 1
Sb1 Sb 0.000 0.000 0.500 1
P1 P 0.223 0.250 0.125 1
```

* Fermi-level density of states: 4.2 states/eV/f.u.
* raw formation energy: -13 kJ/mol of formula units
* mass density: 5.5 g/cm³

What is the Fermi-level density of states in the first record?
8.7 states/eV/f.u.

The highest raw formation energy belongs to which entry?
HfSbP2